Material: YMnCr
Method: DFT, GGA-PBE
State: optimized geometry

Summary:
**Excess energy over the best structure of this formula in the dataset**: 341 meV/atom
**VASP energy**: -23.39 eV/cell

POSCAR file:
```
YMnCr
1.0
0.0000 3.1720 3.1720
3.1720 0.0000 3.1720
3.1720 3.1720 0.0000
Y Mn Cr
1 1 1
Cartesian
0.0000 0.0000 0.0000
4.7580 4.7580 4.7580
3.1720 3.1720 3.1720
```